DFT (PBE-GGA) results for a relaxed U2P3 crystal.

The energy relative to the elements comes out at -0.68 eV/atom. Its symmetry is No. 72.

abc: 7.067 7.067 7.067
angles: 116.89 80.70 135.17
Fractional positions:
U: 0.117 0.218 0.335
U: 0.383 0.718 0.101
U: 0.617 0.282 0.899
U: 0.883 0.782 0.665
P: 0.141 0.847 0.988
P: 0.250 0.750 0.500
P: 0.359 0.347 0.706
P: 0.641 0.653 0.294
P: 0.750 0.250 0.500
P: 0.859 0.153 0.012

---

DFT (PBE-GGA) results for a relaxed U4P3 crystal.

The energy relative to the elements comes out at -0.79 eV/atom. Its symmetry is No. 220.

abc: 7.138 7.138 7.138
angles: 109.47 109.47 109.47
Fractional positions:
U: 0.000 0.347 0.500
U: 0.000 0.847 0.500
U: 0.153 0.153 0.153
U: 0.347 0.500 0.000
U: 0.500 0.000 0.347
U: 0.500 0.000 0.847
U: 0.653 0.653 0.653
U: 0.847 0.500 0.000
P: 0.125 0.750 0.875
P: 0.250 0.625 0.375
P: 0.375 0.250 0.625
P: 0.625 0.375 0.250
P: 0.750 0.875 0.125
P: 0.875 0.125 0.750

---

DFT (PBE-GGA) results for a relaxed UV2P2 crystal.

The energy relative to the elements comes out at -0.50 eV/atom. Its symmetry is No. 12.

abc: 8.820 4.503 4.555
angles: 90.00 117.78 90.00
Fractional positions:
U: 0.000 0.000 0.000
U: 0.500 0.500 0.000
V: 0.134 0.500 0.612
V: 0.366 0.000 0.388
V: 0.634 0.000 0.612
V: 0.866 0.500 0.388
P: 0.249 0.500 0.228
P: 0.251 0.000 0.772
P: 0.749 0.000 0.228
P: 0.751 0.500 0.772

---

DFT (PBE-GGA) results for a relaxed UV2P crystal.

The energy relative to the elements comes out at -0.08 eV/atom. Its symmetry is No. 225. As for the energy above the most stable polymorph in this dataset: 170 meV per atom.

abc: 6.180 6.180 6.180
angles: 90.00 90.00 90.00
Fractional positions:
U: 0.000 0.000 0.000
U: 0.000 0.500 0.500
U: 0.500 0.000 0.500
U: 0.500 0.500 0.000
V: 0.250 0.250 0.250
V: 0.250 0.250 0.750
V: 0.250 0.750 0.250
V: 0.250 0.750 0.750
V: 0.750 0.250 0.250
V: 0.750 0.250 0.750
V: 0.750 0.750 0.250
V: 0.750 0.750 0.750
P: 0.000 0.000 0.500
P: 0.000 0.500 0.000
P: 0.500 0.000 0.000
P: 0.500 0.500 0.500

---

DFT (PBE-GGA) results for a relaxed UVP crystal.

The energy relative to the elements comes out at -0.55 eV/atom. Its symmetry is No. 166.

abc: 8.753 8.753 8.753
angles: 24.56 24.56 24.56
Fractional positions:
U: 0.139 0.139 0.139
U: 0.861 0.861 0.861
V: 0.304 0.304 0.304
V: 0.696 0.696 0.696
P: 0.400 0.400 0.400
P: 0.600 0.600 0.600

---

DFT (PBE-GGA) results for a relaxed UV2P crystal.

The energy relative to the elements comes out at -0.16 eV/atom. Its symmetry is No. 123. As for the energy above the most stable polymorph in this dataset: 90 meV per atom.

abc: 3.148 3.148 6.319
angles: 90.00 90.00 90.00
Fractional positions:
U: 0.000 0.000 0.000
V: 0.500 0.500 0.319
V: 0.500 0.500 0.681
P: 0.000 0.000 0.500

---

DFT (PBE-GGA) results for a relaxed UV2P crystal.

The energy relative to the elements comes out at -0.25 eV/atom. Its symmetry is No. 123. As for the energy above the most stable polymorph in this dataset: 0 meV per atom.

abc: 4.126 4.126 3.478
angles: 90.00 90.00 90.00
Fractional positions:
U: 0.000 0.000 0.000
V: 0.000 0.500 0.500
V: 0.500 0.000 0.500
P: 0.500 0.500 0.000

---

DFT (PBE-GGA) results for a relaxed U2VP crystal.

The energy relative to the elements comes out at 0.16 eV/atom. Its symmetry is No. 166.

abc: 4.365 4.365 13.663
angles: 90.00 90.00 120.00
Fractional positions:
U: 0.000 0.000 0.249
U: 0.000 0.000 0.751
U: 0.333 0.667 0.418
U: 0.333 0.667 0.915
U: 0.667 0.333 0.085
U: 0.667 0.333 0.582
V: 0.000 0.000 0.500
V: 0.333 0.667 0.167
V: 0.667 0.333 0.833
P: 0.000 0.000 0.000
P: 0.333 0.667 0.667
P: 0.667 0.333 0.333

---

Which formula does entry 8 have?
U2VP

---

Among the records above, which one has the lowest energy relative to the elements?
U4P3